{
  "formula": "YTmCo",
  "functional": "PBE-GGA",
  "state": "relaxed",
  "e_tot_ev_per_atom": -5.2083,
  "e_form_ev_per_fu": 2.42,
  "crystal_system": "cubic",
  "cell": [[6.576, 0.000, 0.000], [0.000, 6.576, 0.000], [0.000, 0.000, 6.576]],
  "species": ["Y", "Y", "Y", "Y", "Tm", "Tm", "Tm", "Tm", "Co", "Co", "Co", "Co"],
  "fractional_positions": [[0.000, 0.000, 0.000], [0.000, 0.500, 0.500], [0.500, 0.000, 0.500], [0.500, 0.500, 0.000], [0.250, 0.250, 0.750], [0.250, 0.750, 0.250], [0.750, 0.250, 0.250], [0.750, 0.750, 0.750], [0.000, 0.000, 0.500], [0.000, 0.500, 0.000], [0.500, 0.000, 0.000], [0.500, 0.500, 0.500]]
}